w.
The following is a DFT calculation (PBE-GGA) of LaPmNdTm after structural relaxation.

The calculation puts the calculated density at 7.2 g/cm3. For the total magnetization, the calculation gives 0.00 μB per cell. Its density of states at the Fermi level is 4.89 states/eV per cell.

The space group is P3m1 (No. 156) and the conventional cell measures 3.6542, 3.6542 and 11.8271 Å, with angles of 90.00, 90.00 and 120.00 degrees. The asymmetric unit holds La at (0.0000, 0.0000, 0.0000), Pm at (0.3333, 0.6667, 0.4895), Nd at (0.6667, 0.3333, 0.7408) and Tm at (0.6667, 0.3333, 0.2489).



x.
The following is a DFT calculation (PBE-GGA) of LaPmNdTm after structural relaxation.

The calculation puts the calculated density at 7.2 g/cm3. For the total magnetization, the calculation gives 0.00 μB per cell. Its density of states at the Fermi level is 32.80 states/eV per cell.

The space group is F-43m (No. 216) and the conventional cell measures 8.199, 8.199 and 8.199 Å, with angles of 90.00, 90.00 and 90.00 degrees. The asymmetric unit holds La at (0.000, 0.000, 0.000), Pm at (0.250, 0.250, 0.250), Nd at (0.000, 0.000, 0.500) and Tm at (0.250, 0.250, 0.750).



The most stable arrangement is w, and the next structure is 0.087 eV/atom less stable.



w.
The following is a DFT calculation (PBE-GGA) of La2Pr2Nd3 after structural relaxation.

The calculation puts the calculated density at 6.5 g/cm3. For the total magnetization, the calculation gives 0.00 μB per cell. Its density of states at the Fermi level is 25.43 states/eV per cell.

The space group is P-1 (No. 2) and the conventional cell measures 6.415, 6.430 and 12.858 Å, with angles of 99.64, 99.55 and 99.46 degrees. The asymmetric unit holds La at (0.071, 0.143, 0.142), La at (0.072, 0.143, 0.643), Pr at (0.215, 0.429, 0.429), Pr at (0.358, 0.714, 0.214), Nd at (0.216, 0.429, 0.929), Nd at (0.358, 0.715, 0.714), Nd at (0.500, 0.000, 0.000) and Nd at (0.500, 0.000, 0.500).



x.
The following is a DFT calculation (PBE-GGA) of La2Pr2Nd3 after structural relaxation.

The calculation puts the calculated density at 6.5 g/cm3. For the total magnetization, the calculation gives 0.00 μB per cell. Its density of states at the Fermi level is 21.56 states/eV per cell.

The space group is C2/m (No. 12) and the conventional cell measures 18.092, 3.605 and 8.895 Å, with angles of 90.00, 118.80 and 90.00 degrees. The asymmetric unit holds La at (0.064, 0.000, 0.408), Pr at (0.150, 0.500, 0.839), Nd at (0.000, 0.500, 0.000) and Nd at (0.214, 0.500, 0.301).



The most stable arrangement is w, and the next structure is 0.084 eV/atom less stable.



w.
The following is a DFT calculation (PBE-GGA) of LaPr7Nd2 after structural relaxation.

The calculation puts the calculated density at 5.5 g/cm3. For the total magnetization, the calculation gives 0.00 μB per cell. Its density of states at the Fermi level is 31.05 states/eV per cell.

The space group is Cmmm (No. 65) and the conventional cell measures 8.999, 16.666 and 5.706 Å, with angles of 90.00, 90.00 and 90.00 degrees. The asymmetric unit holds La at (0.000, 0.000, 0.000), Pr at (0.000, 0.229, 0.000), Pr at (0.000, 0.500, 0.500), Pr at (0.181, 0.115, 0.500) and Nd at (0.000, 0.298, 0.500).



x.
The following is a DFT calculation (PBE-GGA) of LaPr7Nd2 after structural relaxation.

The calculation puts the calculated density at 6.5 g/cm3. For the total magnetization, the calculation gives 0.00 μB per cell. Its density of states at the Fermi level is 18.61 states/eV per cell.

The space group is P-1 (No. 2) and the conventional cell measures 6.430, 6.439 and 9.826 Å, with angles of 70.99, 70.93 and 80.39 degrees. The asymmetric unit holds La at (0.000, 0.000, 0.000), Pr at (0.099, 0.498, 0.301), Pr at (0.301, 0.501, 0.899), Pr at (0.399, 0.999, 0.201), Pr at (0.500, 0.500, 0.500) and Nd at (0.201, 0.001, 0.599).



The most stable arrangement is x, and the next structure is 0.580 eV/atom less stable.



w.
The following is a DFT calculation (PBE-GGA) of La2Pr3Nd2 after structural relaxation.

The calculation puts the calculated density at 6.5 g/cm3. For the total magnetization, the calculation gives 0.00 μB per cell. Its density of states at the Fermi level is 12.94 states/eV per cell.

The space group is P-1 (No. 2) and the conventional cell measures 3.714, 6.425 and 11.181 Å, with angles of 84.40, 89.86 and 73.27 degrees. The asymmetric unit holds La at (0.215, 0.071, 0.357), Pr at (0.357, 0.785, 0.929), Pr at (0.500, 0.500, 0.500) and Nd at (0.071, 0.358, 0.787).



x.
The following is a DFT calculation (PBE-GGA) of La2Pr3Nd2 after structural relaxation.

The calculation puts the calculated density at 6.4 g/cm3. For the total magnetization, the calculation gives 0.00 μB per cell. Its density of states at the Fermi level is 21.71 states/eV per cell.

The space group is C2/m (No. 12) and the conventional cell measures 18.108, 3.613 and 8.891 Å, with angles of 90.00, 118.72 and 90.00 degrees. The asymmetric unit holds La at (0.063, 0.000, 0.408), Pr at (0.000, 0.500, 0.000), Pr at (0.214, 0.500, 0.300) and Nd at (0.150, 0.500, 0.838).



The most stable arrangement is w, and the next structure is 0.083 eV/atom less stable.



w.
The following is a DFT calculation (PBE-GGA) of La7PrNd2 after structural relaxation.

The calculation puts the calculated density at 6.2 g/cm3. For the total magnetization, the calculation gives 0.00 μB per cell. Its density of states at the Fermi level is 15.88 states/eV per cell.

The space group is P-1 (No. 2) and the conventional cell measures 5.891, 8.859 and 8.924 Å, with angles of 119.32, 90.21 and 109.32 degrees. The asymmetric unit holds La at (0.000, 0.000, 0.000), La at (0.115, 0.226, 0.777), La at (0.155, 0.311, 0.457), La at (0.377, 0.753, 0.909), Pr at (0.500, 0.000, 0.500) and Nd at (0.260, 0.523, 0.216).



x.
The following is a DFT calculation (PBE-GGA) of La7PrNd2 after structural relaxation.

The calculation puts the calculated density at 5.6 g/cm3. For the total magnetization, the calculation gives 0.52 μB per cell. Its density of states at the Fermi level is 35.34 states/eV per cell.

The space group is Cmmm (No. 65) and the conventional cell measures 9.069, 16.276 and 5.679 Å, with angles of 90.00, 90.00 and 90.00 degrees. The asymmetric unit holds La at (0.000, 0.000, 0.000), La at (0.000, 0.257, 0.500), La at (0.187, 0.385, 0.000), Pr at (0.000, 0.500, 0.500) and Nd at (0.000, 0.200, 0.000).



The most stable arrangement is w, and the next structure is 0.368 eV/atom less stable.



w.
The following is a DFT calculation (PBE-GGA) of La3Pr2Nd2 after structural relaxation.

The calculation puts the calculated density at 6.4 g/cm3. For the total magnetization, the calculation gives 0.00 μB per cell. Its density of states at the Fermi level is 22.09 states/eV per cell.

The space group is C2/m (No. 12) and the conventional cell measures 18.027, 3.612 and 8.892 Å, with angles of 90.00, 118.48 and 90.00 degrees. The asymmetric unit holds La at (0.000, 0.000, 0.000), La at (0.214, 0.000, 0.300), Pr at (0.064, 0.500, 0.407) and Nd at (0.147, 0.000, 0.834).



x.
The following is a DFT calculation (PBE-GGA) of La3Pr2Nd2 after structural relaxation.

The calculation puts the calculated density at 6.4 g/cm3. For the total magnetization, the calculation gives 0.00 μB per cell. Its density of states at the Fermi level is 13.55 states/eV per cell.

The space group is P-1 (No. 2) and the conventional cell measures 3.712, 6.442 and 11.158 Å, with angles of 84.26, 89.87 and 73.35 degrees. The asymmetric unit holds La at (0.000, 0.000, 0.000), La at (0.144, 0.714, 0.571), Pr at (0.286, 0.429, 0.143) and Nd at (0.428, 0.144, 0.714).



The most stable arrangement is x, and the next structure is 0.076 eV/atom less stable.